[1]
## LaBe2Au (GGA-PBE)

Data for a relaxed structure of LaBe2Au.

Structure (extended XYZ):
```
4
Lattice="5.069 -0.157 -0.031 -0.193 5.068 0.031 -1.742 -3.146 3.071" Properties=species:S:1:pos:R:3 pbc="T T T"
Be 4.699 4.732 0.000
Be 3.335 0.031 1.520
La 2.493 2.510 0.000
Au -0.078 1.856 1.551
```

Properties
**D(E_F)**: 2.21 states/eV/f.u.
**Energy of formation**: 0.02 eV/atom
**Energy above the lowest structure with this stoichiometry**: 31.2 kJ/mol of atoms
**Volume**: 79.0 Å³/f.u.

***

[2]
## LaBeAu3 (GGA-PBE)

Data for a relaxed structure of LaBeAu3.

Structure (extended XYZ):
```
5
Lattice="4.672 0.000 0.000 0.000 4.672 0.000 0.000 0.000 4.672" Properties=species:S:1:pos:R:3 pbc="T T T"
La 2.336 2.336 2.336
Au 0.000 0.000 2.336
Au 2.336 0.000 0.000
Au 0.000 2.336 0.000
Be 0.000 0.000 0.000
```

Properties
**D(E_F)**: 2.54 states/eV/f.u.
**Energy of formation**: -0.52 eV/atom
**Energy above the lowest structure with this stoichiometry**: 5.9 kJ/mol of atoms
**Volume**: 102.0 Å³/f.u.